Crystalline Nb3Co3Pt at its relaxed geometry, computed with GGA-PBE.

The energy of formation is -0.2144 eV/atom. The density of states at the Fermi level is 9.2 states/eV/f.u. As for the crystal system: hexagonal. The calculation puts the uncorrected energy at -8.44 eV per atom. The theoretical density comes out at 10.616 g cm⁻³.

Cell: 7.3465 7.3465 4.3546 Å, 90.00 90.00 120.00°
Space group P6_3/m (No. 176)
Asymmetric unit:
Nb 0.0786 0.6518 0.2500 (multiplicity 6)
Co 0.0403 0.8251 0.7500 (multiplicity 6)
Pt 0.3333 0.6667 0.7500 (multiplicity 2)